[1]
## CaTcOs2 (PBE)

Data for a relaxed CaTcOs2 crystal.

Cell lengths 5.793, 5.793, 5.793 Å; angles 151.73, 131.70, 56.92 degrees
Atoms (fractional coordinates):
1 Tc 0.535 0.535 0.000
2 Os 0.966 0.966 0.000
3 Os 0.752 0.252 0.500
4 Ca 0.248 0.748 0.500

Output
- Magnetization: 0.000 μB/f.u.
- ρ: 12605 kg/m³
- Energy above the most stable polymorph in this dataset: 93 meV/atom
- Formation enthalpy at 0 K: 0.482 eV per atom

---

[2]
## CaTc2Os (PBE)

Data for a relaxed CaTc2Os crystal.

Cell lengths 2.763, 2.763, 9.392 Å; angles 90.00, 90.00, 113.03 degrees
Atoms (fractional coordinates):
1 Ca 0.000 0.000 0.503
2 Tc 0.500 0.500 0.227
3 Os 0.500 0.500 0.769
4 Tc 0.000 0.000 0.001

Output
- Magnetization: 0.000 μB/f.u.
- ρ: 10725 kg/m³
- Energy above the most stable polymorph in this dataset: 204 meV/atom
- Formation enthalpy at 0 K: 0.614 eV per atom